Material: CsBaHfPb2
Method: DFT, PBE
State: optimized geometry

Cell lengths 5.7896, 5.7896, 6.0429 Å; angles 90.00, 90.00, 90.00 degrees
Fractional positions:
Cs1 0.0000 0.0000 0.0000
Ba1 0.5000 0.5000 0.0000
Hf1 0.0000 0.0000 0.5000
Pb1 0.0000 0.5000 0.5000
Pb2 0.5000 0.0000 0.5000

Results
DFT formation energy = 0.27 eV/atom
crystal system = tetragonal
energy = -3.760 eV/atom
V = 203 Å³/f.u.